# Ac2ErMnS6

A relaxed Ac2ErMnS6 crystal (PBE-GGA, Alexandria).

Summary:
As for the density of states at the Fermi level: 0.16 states/eV per atom. The space-group type is No. 14. The volume is 24.0 Å³ per atom. The value obtained for the total energy is -6.42 eV per atom.

a = 6.7228 Å, b = 7.4240 Å, c = 9.6186 Å
α = 90.00°, β = 90.58°, γ = 90.00°
Fractional positions:
S1 0.6019 0.0204 0.2668
S2 0.1019 0.4796 0.7668
S3 0.8007 0.8201 0.5471
S4 0.3007 0.6799 0.0471
Er1 0.0000 0.5000 0.5000
S5 0.1993 0.1799 0.4529
Mn1 0.0000 0.5000 0.0000
Ac1 0.0310 0.9069 0.2480
S6 0.3194 0.6923 0.4463
Mn2 0.5000 0.0000 0.5000
S7 0.8981 0.5204 0.2332
S8 0.8194 0.8077 0.9463
S9 0.3981 0.9796 0.7332
S10 0.1806 0.1923 0.0537
S11 0.6993 0.3201 0.9529
Ac2 0.9690 0.0931 0.7520
Er2 0.5000 0.0000 0.0000
Ac3 0.5310 0.5931 0.7480
Ac4 0.4690 0.4069 0.2520
S12 0.6806 0.3077 0.5537

=====

# Ac2ErMnSe5

A relaxed Ac2ErMnSe5 crystal (PBE-GGA, Alexandria).

Summary:
As for the density of states at the Fermi level: 0.36 states/eV per atom. The space-group type is No. 36. The volume is 26.7 Å³ per atom. The value obtained for the total energy is -6.02 eV per atom.

a = 4.2340 Å, b = 9.1243 Å, c = 12.8040 Å
α = 90.00°, β = 90.00°, γ = 103.42°
Fractional positions:
Se1 0.6964 0.3928 0.1734
Se2 0.4976 0.9952 0.7587
Se3 0.6931 0.3862 0.8650
Ac1 0.8785 0.7571 0.8368
Se4 0.3036 0.6072 0.6734
Se5 0.6540 0.3080 0.5152
Se6 0.3460 0.6920 0.0152
Ac2 0.1225 0.2451 0.6949
Se7 0.5024 0.0048 0.2587
Ac3 0.8775 0.7549 0.1949
Mn1 0.5564 0.1128 0.9336
Er1 0.1851 0.3702 0.0195
Er2 0.8149 0.6298 0.5195
Ac4 0.1215 0.2429 0.3368
Se8 0.3069 0.6138 0.3650
Se9 0.9754 0.9508 0.5269
Se10 0.0246 0.0492 0.0269
Mn2 0.4436 0.8872 0.4336

=====

# Ac2ErMnTe5

A relaxed Ac2ErMnTe5 crystal (PBE-GGA, Alexandria).

Summary:
As for the density of states at the Fermi level: 0.44 states/eV per atom. The space-group type is No. 36. The volume is 32.6 Å³ per atom. The value obtained for the total energy is -5.42 eV per atom.

a = 4.5130 Å, b = 9.9994 Å, c = 13.3449 Å
α = 90.00°, β = 90.00°, γ = 103.04°
Fractional positions:
Ac1 0.8831 0.7661 0.1909
Er1 0.8078 0.6156 0.5100
Te1 0.6479 0.2959 0.5032
Te2 0.3052 0.6104 0.3519
Te3 0.5015 0.0031 0.7790
Te4 0.3521 0.7041 0.0032
Te5 0.0415 0.0829 0.0562
Ac2 0.1169 0.2339 0.6909
Te6 0.6948 0.3896 0.8519
Te7 0.4985 0.9969 0.2790
Er2 0.1922 0.3844 0.0100
Mn1 0.5704 0.1408 0.9538
Te8 0.2927 0.5855 0.6668
Ac3 0.8760 0.7520 0.8123
Mn2 0.4296 0.8592 0.4538
Te9 0.9585 0.9171 0.5562
Te10 0.7073 0.4145 0.1668
Ac4 0.1240 0.2480 0.3123

=====

# Ac2ErMo2N6

A relaxed Ac2ErMo2N6 crystal (PBE-GGA, Alexandria).

Summary:
As for the density of states at the Fermi level: 0.22 states/eV per atom. The space-group type is No. 166. The volume is 17.0 Å³ per atom. The value obtained for the total energy is -8.51 eV per atom.

a = 5.8889 Å, b = 5.8889 Å, c = 7.0992 Å
α = 65.50°, β = 65.50°, γ = 60.00°
Fractional positions:
Er1 0.0000 0.0000 0.0000
N1 0.7684 0.2556 0.7204
N2 0.2556 0.2556 0.7204
Ac1 0.2052 0.2052 0.3844
Mo1 0.6028 0.6028 0.1916
N3 0.2316 0.7444 0.2796
Ac2 0.7948 0.7948 0.6156
N4 0.7444 0.7444 0.2796
N5 0.2556 0.7684 0.7204
Mo2 0.3972 0.3972 0.8084
N6 0.7444 0.2316 0.2796

=====

# AcEr2MoN4

A relaxed AcEr2MoN4 crystal (PBE-GGA, Alexandria).

Summary:
As for the density of states at the Fermi level: 0.31 states/eV per atom. The space-group type is No. 63. The volume is 15.6 Å³ per atom. The value obtained for the total energy is -8.32 eV per atom.

a = 3.4762 Å, b = 6.2738 Å, c = 11.9252 Å
α = 90.00°, β = 90.00°, γ = 106.08°
Fractional positions:
Mo1 0.1767 0.3535 0.2500
N1 0.4207 0.8415 0.7500
N2 0.0000 0.0000 0.5000
Ac1 0.0829 0.1659 0.7500
N3 0.2609 0.5218 0.1138
N4 0.0000 0.0000 0.0000
Er1 0.6294 0.2587 0.4591
Mo2 0.8233 0.6465 0.7500
N5 0.5793 0.1585 0.2500
Er2 0.3706 0.7413 0.5409
Ac2 0.9171 0.8341 0.2500
N6 0.7391 0.4782 0.6138
N7 0.2609 0.5218 0.3862
Er3 0.6294 0.2587 0.0409
Er4 0.3706 0.7413 0.9591
N8 0.7391 0.4782 0.8862

=====

# AcErMoN4

A relaxed AcErMoN4 crystal (PBE-GGA, Alexandria).

Summary:
As for the density of states at the Fermi level: 0.00 states/eV per atom. The space-group type is No. 11. The volume is 16.9 Å³ per atom. The value obtained for the total energy is -8.61 eV per atom.

a = 5.8888 Å, b = 5.9589 Å, c = 7.0647 Å
α = 90.00°, β = 107.82°, γ = 90.00°
Fractional positions:
N1 0.0465 0.5080 0.2787
Er1 0.8154 0.7500 0.4690
N2 0.9535 0.4920 0.7213
N3 0.4677 0.7500 0.5816
Mo1 0.7329 0.2500 0.6720
N4 0.5346 0.2500 0.8348
Ac1 0.7308 0.7500 0.9383
N5 0.0465 0.9920 0.2787
N6 0.5323 0.2500 0.4184
Mo2 0.2671 0.7500 0.3280
N7 0.4654 0.7500 0.1652
N8 0.9535 0.0080 0.7213
Ac2 0.2692 0.2500 0.0617
Er2 0.1846 0.2500 0.5310

=====

Which of these has the lowest volume? AcEr2MoN4

=====

What is the volume in the fifth record? 15.6 Å³ per atom